1.
SrTe2Pb, PBEsol geometry, DFT SCAN; raw formation energy = -427.4 meV per atom; space-group type = F-43m (216)
1.0
0.000 3.956 3.956
3.956 0.000 3.956
3.956 3.956 0.000
Sr Te Pb
1 2 1
Direct
0.000 0.000 0.000
0.250 0.250 0.250
0.500 0.500 0.500
0.750 0.750 0.750

2.
Ta2AlSi, PBEsol geometry, DFT SCAN; raw formation energy = -198.0 meV per atom; space-group type = P4mm (99); distance to the lowest polymorph of the same formula = 4 kJ/mol of formula units
1.0
3.404 0.000 0.000
0.000 3.404 0.000
0.000 0.000 5.563
Ta Al Si
2 1 1
Direct
0.000 0.000 0.000
0.500 0.500 0.249
0.000 0.000 0.507
0.500 0.500 0.751

Q: Which of these has the highest raw formation energy?
A: Ta2AlSi

Repeat the second record exactly.
Ta2AlSi, PBEsol geometry, DFT SCAN; raw formation energy = -198.0 meV per atom; space-group type = P4mm (99); distance to the lowest polymorph of the same formula = 4 kJ/mol of formula units
1.0
3.404 0.000 0.000
0.000 3.404 0.000
0.000 0.000 5.563
Ta Al Si
2 1 1
Direct
0.000 0.000 0.000
0.500 0.500 0.249
0.000 0.000 0.507
0.500 0.500 0.751